Entry from Alexandria: a relaxed structure of BaInSbOs2 (PBE).

```
5
Lattice="-4.068 -1.862 2.423 1.827 -5.171 -0.907 2.558 0.132 4.396" Properties=species:S:1:pos:R:3 pbc="T T T"
Sb 0.913 -2.586 -0.454
Os 1.279 0.066 2.198
Os -2.034 -0.931 1.211
Ba 0.158 -3.451 2.956
In 0.000 0.000 0.000
```

Values from the calculation:
- final energy (eV per atom) = -4.761
- SG = P4/mmm
- formation energy (no corrections) (eV/atom) = 1.487